Computed, not measured: a relaxed KRe crystal at the PBE level of DFT.

```
KRe
1.0
-13.5288 -4.8640 1.4702
9.8610 -8.0329 -6.8617
0.8573 -1.4862 2.9720
Re K
6 6
Direct
0.4705 0.4394 0.2500
0.9689 0.5295 0.2500
0.5606 0.0311 0.2500
0.5295 0.5606 0.7500
0.0311 0.4705 0.7500
0.4394 0.9689 0.7500
0.8149 0.2601 0.2500
0.2601 0.4452 0.7500
0.1851 0.7399 0.7500
0.7399 0.5548 0.2500
0.5548 0.8149 0.7500
0.4452 0.1851 0.2500
```

Output
Energy above the most stable polymorph in this dataset: 543 meV per atom
Electronic total energy: -5.399 eV/atom

Computed, not measured: a relaxed Er2TmHg crystal at the PBE level of DFT.

```
Er2TmHg
1.0
3.6016 -0.0006 -0.0003
1.8003 3.1194 -0.0003
1.7999 1.0392 10.3365
Er Tm Hg
2 1 1
Direct
0.0767 0.0767 0.7699
0.2568 0.2568 0.2296
0.5000 0.5000 0.5000
0.6665 0.6665 0.0006
```

Output
Energy above the most stable polymorph in this dataset: 61 meV per atom
Electronic total energy: -3.636 eV/atom

Computed, not measured: a relaxed Pm3Dy3Mg2 crystal at the PBE level of DFT.

```
Pm3Dy3Mg2
1.0
-2.0796 0.9581 4.8478
-4.0670 -2.8811 -4.1399
4.9724 -14.0837 4.9165
Mg Pm Dy
4 6 6
Direct
0.7715 0.5431 0.8547
0.7715 0.5431 0.6453
0.2285 0.4569 0.1453
0.2285 0.4569 0.3547
0.0389 0.0777 0.6040
0.0389 0.0777 0.8960
0.7513 0.5026 0.2500
0.9611 0.9223 0.1040
0.2487 0.4974 0.7500
0.9611 0.9223 0.3960
0.4756 0.9511 0.2500
0.6450 0.2900 0.4662
0.3550 0.7100 0.9662
0.6450 0.2900 0.0338
0.5244 0.0489 0.7500
0.3550 0.7100 0.5338
```

Output
Electronic total energy: -3.841 eV/atom